[1]
# PBE with a Hubbard U NaCoI2O, optimized geometry
# Theoretical density, g cm⁻³: 4.3
# Total DFT energy (no corrections), eV for the cell shown: -11.89
# Energy above the most stable polymorph in this dataset, eV/f.u.: 5.57
data_NaCoI2O
_cell_length_a 5.726
_cell_length_b 5.726
_cell_length_c 4.139
_cell_angle_alpha 90.00
_cell_angle_beta 90.00
_cell_angle_gamma 90.00
_symmetry_space_group_name_H-M 'P 4/m m m'
_symmetry_Int_Tables_number 123
_symmetry_space_group_name_Hall '-P 4 2'
loop_
_atom_site_label
_atom_site_fract_x
_atom_site_fract_y
_atom_site_fract_z
Na1 0.000 0.000 0.000
Co1 0.500 0.500 0.500
I1 0.000 0.500 0.000
O1 0.000 0.000 0.500



[2]
# PBE with a Hubbard U NaCoI2O, optimized geometry
# Theoretical density, g cm⁻³: 4.6
# Total DFT energy (no corrections), eV for the cell shown: -17.45
# Energy above the most stable polymorph in this dataset, eV/f.u.: 0.00
data_NaCoI2O
_cell_length_a 5.933
_cell_length_b 5.933
_cell_length_c 3.627
_cell_angle_alpha 90.00
_cell_angle_beta 90.00
_cell_angle_gamma 90.00
_symmetry_space_group_name_H-M 'P 4/m m m'
_symmetry_Int_Tables_number 123
_symmetry_space_group_name_Hall '-P 4 2'
loop_
_atom_site_label
_atom_site_fract_x
_atom_site_fract_y
_atom_site_fract_z
Na1 0.000 0.000 0.000
Co1 0.500 0.500 0.500
I1 0.000 0.500 0.500
O1 0.500 0.500 0.000